No. 1
First-principles (PBE) data for a relaxed structure of NbPdSeN2, as listed in the Alexandria database.

a = 3.9557 Å, b = 3.9557 Å, c = 5.5695 Å
α = 90.00°, β = 90.00°, γ = 90.00°
Closest atoms and distances in Å follow each position.
Fractional positions:
Nb1 0.0000 0.0000 0.0000  4 N 1.98
Pd1 0.5000 0.5000 0.5000  4 Se 2.80
Se1 0.0000 0.0000 0.5000  2 Nb 2.78, 4 Pd 2.80
N1 0.0000 0.5000 0.0000  2 Nb 1.98
N2 0.5000 0.0000 0.0000  2 Nb 1.98

Output
As for the energy above the lowest structure with this stoichiometry: 0 meV per atom. The value obtained for the formation energy (no corrections) is 10.47 kcal/mol of atoms.

No. 2
First-principles (PBE) data for a relaxed structure of SiTc3, as listed in the Alexandria database.

a = 4.9069 Å, b = 4.9069 Å, c = 4.9069 Å
α = 136.02°, β = 136.02°, γ = 63.95°
Closest atoms and distances in Å follow each position.
Fractional positions:
Si1 0.0000 0.0000 0.0000  12 Tc 2.60-2.78
Tc1 0.2500 0.7500 0.5000  8 Tc 2.60-2.78, 4 Si 2.78
Tc2 0.5000 0.5000 0.0000  4 Si 2.60, 8 Tc 2.78
Tc3 0.7500 0.2500 0.5000  8 Tc 2.60-2.78, 4 Si 2.78

Output
As for the energy above the lowest structure with this stoichiometry: 171 meV per atom. The value obtained for the formation energy (no corrections) is -2.15 kcal/mol of atoms.

No. 3
First-principles (PBE) data for a relaxed structure of La2ScHgN, as listed in the Alexandria database.

a = 5.2654 Å, b = 5.2654 Å, c = 4.3455 Å
α = 90.00°, β = 90.00°, γ = 90.00°
Closest atoms and distances in Å follow each position.
Fractional positions:
La1 0.0000 0.5000 0.0000  2 N 2.63
La2 0.5000 0.0000 0.0000  2 N 2.63
Sc1 0.0000 0.0000 0.5000  2 N 2.17
Hg1 0.5000 0.5000 0.5000  8 La 3.41, 4 Sc 3.72
N1 0.0000 0.0000 0.0000  2 Sc 2.17

Output
The value obtained for the formation energy (no corrections) is -19.44 kcal/mol of atoms.

No. 4
First-principles (PBE) data for a relaxed structure of TlPd4Au3, as listed in the Alexandria database.

a = 6.1323 Å, b = 6.1323 Å, c = 6.1323 Å
α = 125.86°, β = 79.10°, γ = 127.11°
Closest atoms and distances in Å follow each position.
Fractional positions:
Tl1 0.0000 0.0000 0.0000  4 Pd 2.69-2.97, 4 Au 2.80-2.81
Pd1 0.4731 0.2179 0.2552  5 Au 2.69-2.79, 1 Tl 2.69, 2 Pd 2.99
Pd2 0.4794 0.2265 0.7471  4 Pd 2.76-2.99, 1 Tl 2.97, 3 Au 3.01-3.04
Pd3 0.4794 0.7323 0.2529  4 Pd 2.76-2.99, 1 Tl 2.97, 3 Au 3.01-3.04
Pd4 0.9627 0.2179 0.7448  5 Au 2.69-2.79, 1 Tl 2.69, 2 Pd 2.99
Au1 0.4693 0.7183 0.7510  6 Pd 2.73-3.04, 1 Au 2.74, 1 Tl 2.81
Au2 0.9673 0.7183 0.2490  6 Pd 2.73-3.04, 1 Au 2.74, 1 Tl 2.81
Au3 0.9686 0.4686 0.5000  4 Pd 2.69-3.01, 2 Au 2.74, 2 Tl 2.80

Output
As for the energy above the lowest structure with this stoichiometry: 159 meV per atom. The formation energy comes out at 0.021 eV per atom.

Number 1: DFT total energy -6.6256 eV/atom. Number 2: DFT total energy -9.2236 eV/atom. Number 3: DFT total energy -5.8057 eV/atom. Number 4: DFT total energy -4.1003 eV/atom.